# ZnFePtPb

An optimized crystal structure of ZnFePtPb (PBE, OQMD via LeMat-Bulk).

```
ZnFePtPb
1.0
0.000 3.236 3.236
3.236 0.000 3.236
3.236 3.236 0.000
Zn Fe Pt Pb
1 1 1 1
Direct
0.000 0.000 0.000
0.750 0.750 0.750
0.250 0.250 0.250
0.500 0.500 0.500
```

Summary:
- excess energy over the best structure of this formula in the dataset (meV/atom) = 0
- space-group type = F-43m, No. 216